The following is a GGA-PBE calculation of a relaxed CdSe2Br crystal, from Alexandria via LeMat-Bulk.

## Properties
Relative energy among the computed polymorphs, meV/atom: 214
Uncorrected formation energy, eV/atom: -0.08
Size of the total moment, μB per atom: 0.000

a = 6.0597 Å, b = 6.0597 Å, c = 5.3850 Å
α = 93.77°, β = 93.77°, γ = 33.03°
Positions (direct):
Cd 0.0000 0.0000 0.0000
Se 0.3079 0.3079 0.8691
Se 0.6921 0.6921 0.1309
Br 0.5000 0.5000 0.5000